(1)
This record from Alexandria via LeMat-Bulk describes a relaxed structure of MoHAu. The functional is PBE.

Unit cell a=6.4134 b=3.3302 c=7.3392 alpha=90.00 beta=90.00 gamma=90.00
Last column: nearest neighbours and their distance in Å.
Positions (direct):
H  0.8496  0.2500  0.4103  3 Mo 1.87-1.94
H  0.1504  0.7500  0.5897  3 Mo 1.87-1.94
H  0.3496  0.2500  0.0897  3 Mo 1.87-1.94
H  0.6504  0.7500  0.9103  3 Mo 1.87-1.94
Au  0.4938  0.2500  0.6602  5 H 2.67-2.93, 4 Mo 2.74-2.98, 2 Au 2.88
Au  0.9938  0.2500  0.8398  5 H 2.67-2.93, 4 Mo 2.74-2.98, 2 Au 2.88
Au  0.0062  0.7500  0.1602  5 H 2.67-2.93, 4 Mo 2.74-2.98, 2 Au 2.88
Au  0.5062  0.7500  0.3398  5 H 2.67-2.93, 4 Mo 2.74-2.98, 2 Au 2.88
Mo  0.6371  0.2500  0.0463  3 H 1.87-1.94
Mo  0.3629  0.7500  0.9537  3 H 1.87-1.94
Mo  0.1371  0.2500  0.4537  3 H 1.87-1.94
Mo  0.8629  0.7500  0.5463  3 H 1.87-1.94

Results
As for the relative energy among the computed polymorphs: 0 meV per atom. Its space group is Pnma. The calculation puts the volume at 156.75 Å³/cell. The calculation puts the uncorrected energy at -5.528 eV/atom.

(2)
This record from Alexandria via LeMat-Bulk describes a relaxed structure of MoHAu. The functional is PBE.

Unit cell a=6.4690 b=5.1194 c=4.8687 alpha=90.00 beta=90.00 gamma=90.00
Last column: nearest neighbours and their distance in Å.
Positions (direct):
H  0.6727  0.2500  0.9994  1 Mo 1.73
H  0.1727  0.2500  0.5006  1 Mo 1.73
H  0.3273  0.7500  0.0006  1 Mo 1.73
H  0.8273  0.7500  0.4994  1 Mo 1.73
Au  0.5000  0.0000  0.5000  2 H 2.47, 2 Au 2.56
Au  0.0000  0.5000  0.0000  2 H 2.47, 2 Au 2.56
Au  0.0000  0.0000  0.0000  2 H 2.47, 2 Au 2.56
Au  0.5000  0.5000  0.5000  2 H 2.47, 2 Au 2.56
Mo  0.9045  0.2500  0.5000  1 H 1.73
Mo  0.5955  0.7500  0.0000  1 H 1.73
Mo  0.0955  0.7500  0.5000  1 H 1.73
Mo  0.4045  0.2500  0.0000  1 H 1.73

Results
As for the relative energy among the computed polymorphs: 347 meV per atom. Its space group is Pnma. The calculation puts the volume at 161.24 Å³/cell. The calculation puts the uncorrected energy at -5.181 eV/atom.